Compound: DyHoB5
Source: OQMD
Functional: GGA-PBE
Structure: relaxed

Values from the calculation:
- calculated volume (Å³ per cell) = 167.9
- ρ (kg/m³) = 7548
- VASP energy (eV/atom) = -6.51

Unit cell a=3.2657 b=6.6754 c=7.7001 alpha=90.00 beta=90.00 gamma=90.00
Closest atoms and distances in Å follow each position.
Space group Imm2 (No. 44)
Unique sites:
Dy: 0.0000 0.0000 0.0000  8 B 2.50-2.72
Ho: 0.0000 0.0000 0.4911  8 B 2.49-2.70
B: 0.0000 0.2633 0.7445  1 B 1.58
B: 0.0000 0.3622 0.2440  3 B 1.84
B: 0.0000 0.5000 0.7462  2 B 1.58

Compound: ZrTe
Source: OQMD
Functional: GGA-PBE
Structure: relaxed

Values from the calculation:
- calculated volume (Å³ per cell) = 520.8
- ρ (kg/m³) = 6977
- VASP energy (eV/atom) = -6.51

Unit cell a=5.1252 b=19.7871 c=5.1354 alpha=90.00 beta=90.00 gamma=90.00
Closest atoms and distances in Å follow each position.
Space group Amm2 (No. 38)
Unique sites:
Zr: 0.0000 0.0000 0.0000  2 Te 3.15, 8 Zr 3.16-3.17
Zr: 0.0000 0.0940 0.4992  6 Te 2.87-3.17, 2 Zr 3.17
Zr: 0.5000 0.0930 0.9975  6 Te 2.88-3.21, 2 Zr 3.16
Te: 0.0000 0.1592 0.9998  5 Zr 2.87-3.15
Te: 0.5000 0.0000 0.4850  8 Zr 3.11-3.21
Te: 0.5000 0.1767 0.4987  4 Zr 3.04-3.06

Compound: ZrTcAs
Source: OQMD
Functional: GGA-PBE
Structure: relaxed

Values from the calculation:
- energy relative to the lowest polymorph listed for this composition (meV per atom) = 0
- calculated volume (Å³ per cell) = 233.8
- ρ (kg/m³) = 7505
- VASP energy (eV/atom) = -8.02

Unit cell a=6.1604 b=6.1604 c=6.1604 alpha=90.00 beta=90.00 gamma=90.00
Closest atoms and distances in Å follow each position.
Space group F-43m (No. 216)
Unique sites:
Zr: 0.0000 0.0000 0.0000  4 Tc 2.67
Tc: 0.2500 0.2500 0.7500  4 Zr 2.67, 4 As 2.67
As: 0.0000 0.0000 0.5000  4 Tc 2.67

Compound: PtAuNO
Source: OQMD
Functional: GGA-PBE
Structure: relaxed

Values from the calculation:
- energy relative to the lowest polymorph listed for this composition (meV per atom) = 0
- calculated volume (Å³ per cell) = 101.5
- ρ (kg/m³) = 13811
- VASP energy (eV/atom) = -5.31

Unit cell a=3.1354 b=4.6321 c=6.9880 alpha=90.00 beta=90.00 gamma=90.00
Closest atoms and distances in Å follow each position.
Space group Pmc2_1 (No. 26)
Unique sites:
Pt: 0.0000 0.0099 0.0000  2 O 1.99-2.04, 2 N 2.06
Au: 0.5000 0.4294 0.1512  2 N 2.07-2.15
N: 0.5000 0.2554 0.4246  2 Pt 2.06, 2 Au 2.07-2.15
O: 0.0000 0.2155 0.7505  2 Pt 1.99-2.04

Compound: CdTeAu
Source: OQMD
Functional: GGA-PBE
Structure: relaxed

Values from the calculation:
- energy relative to the lowest polymorph listed for this composition (meV per atom) = 0
- calculated volume (Å³ per cell) = 322.8
- ρ (kg/m³) = 8991
- VASP energy (eV/atom) = -2.54

Unit cell a=7.1329 b=4.4324 c=10.2111 alpha=90.00 beta=90.00 gamma=90.00
Closest atoms and distances in Å follow each position.
Space group Pnma (No. 62)
Unique sites:
Cd: 0.1187 0.2500 0.0568  3 Au 2.83-2.86, 1 Te 2.86, 2 Cd 3.02
Te: 0.0053 0.2500 0.3679  2 Au 2.74, 1 Cd 2.86
Au: 0.0086 0.2500 0.7900  2 Te 2.74, 3 Cd 2.83-2.86

Compound: GdZnTe3Pb
Source: OQMD
Functional: GGA-PBE
Structure: relaxed

Values from the calculation:
- calculated volume (Å³ per cell) = 732.4
- ρ (kg/m³) = 7370
- VASP energy (eV/atom) = -3.86

Unit cell a=4.3813 b=14.7603 c=11.3262 alpha=90.00 beta=90.00 gamma=90.00
Closest atoms and distances in Å follow each position.
Space group Cmcm (No. 63)
Unique sites:
Gd: 0.0000 0.0000 0.0000  6 Te 3.12-3.13
Zn: 0.0000 0.4734 0.2500  4 Te 2.79
Te: 0.0000 0.0902 0.2500  2 Zn 2.79
Te: 0.0000 0.3562 0.0568  1 Zn 2.79, 2 Gd 3.12
Pb: 0.0000 0.2146 0.7500  6 Te 3.27-3.62, 2 Zn 3.53

Question: Which formula does entry 5 have?
Answer: CdTeAu